The following is a GGA-PBEsol calculation of a geometry-optimized Mn2TlSe structure, from Alexandria.

## Properties
Polymorph energy (0 for the lowest one), kJ per mole of atoms: 12.8
D(E_F), states/eV/f.u.: 3.1
Raw formation energy, meV/atom: 311
E_tot, eV/atom: -6.190

a b c (Å): 3.1277 4.6493 5.7565
angles (deg): 102.24 105.76 90.00
Last column: nearest neighbours and their distance in Å.
Element x y z (fractional)
1 Mn 0.9321 0.8528 0.8642  2 Se 2.47, 2 Mn 2.68
2 Mn 0.2305 0.7532 0.4610  2 Se 2.47, 2 Mn 2.68
3 Se 0.5543 0.6208 0.1086  4 Mn 2.47
4 Tl 0.7831 0.2732 0.5662  6 Mn 2.82-2.89, 2 Tl 3.13